(1)
Material: Hf8Sn4H
Method: DFT, PBE-GGA
State: optimized geometry

Output
Total energy (eV per atom): -7.926
SG: Pmm2

a b c (Å): 4.021 4.581 14.281
angles (deg): 90.00 90.00 90.00
Element x y z (fractional)
1 Hf 0.000 0.000 0.000
2 Hf 0.000 0.000 0.327
3 Hf 0.000 0.500 0.177
4 Hf 0.000 0.500 0.511
5 Hf 0.500 0.000 0.501
6 Hf 0.500 0.000 0.833
7 Hf 0.500 0.500 0.008
8 Hf 0.500 0.500 0.678
9 Sn 0.000 0.000 0.663
10 Sn 0.000 0.500 0.849
11 Sn 0.500 0.000 0.159
12 Sn 0.500 0.500 0.350
13 H 0.000 0.000 0.469

(2)
Material: Na4HfTi3Te8
Method: DFT, PBE-GGA
State: optimized geometry

Output
Total energy (eV per atom): -4.805
SG: R-3m

a b c (Å): 8.992 8.992 8.992
angles (deg): 53.77 53.77 53.77
Element x y z (fractional)
1 Na 0.000 0.000 0.000
2 Na 0.000 0.500 0.500
3 Na 0.500 0.000 0.500
4 Na 0.500 0.500 0.000
5 Hf 0.500 0.500 0.500
6 Ti 0.000 0.000 0.500
7 Ti 0.000 0.500 0.000
8 Ti 0.500 0.000 0.000
9 Te 0.234 0.741 0.741
10 Te 0.237 0.237 0.237
11 Te 0.259 0.259 0.766
12 Te 0.259 0.766 0.259
13 Te 0.741 0.234 0.741
14 Te 0.741 0.741 0.234
15 Te 0.763 0.763 0.763
16 Te 0.766 0.259 0.259

(3)
Material: MgTi3N2
Method: DFT, PBE-GGA
State: optimized geometry

Output
Total energy (eV per atom): -7.992
SG: C2/m

a b c (Å): 6.501 6.501 7.002
angles (deg): 105.69 105.69 37.20
Element x y z (fractional)
1 Mg 0.156 0.156 0.002
2 Mg 0.844 0.844 0.998
3 Ti 0.059 0.059 0.357
4 Ti 0.279 0.279 0.665
5 Ti 0.396 0.396 0.340
6 Ti 0.604 0.604 0.660
7 Ti 0.721 0.721 0.335
8 Ti 0.941 0.941 0.643
9 N 0.113 0.113 0.678
10 N 0.441 0.441 0.660
11 N 0.559 0.559 0.340
12 N 0.887 0.887 0.322

(4)
Material: HgH2O2
Method: DFT, PBE-GGA
State: optimized geometry

Output
Total energy (eV per atom): -4.047
SG: I4_1/amd

a b c (Å): 8.010 8.010 8.010
angles (deg): 151.55 151.55 40.67
Element x y z (fractional)
1 Hg 0.375 0.625 0.750
2 Hg 0.625 0.375 0.250
3 H 0.000 0.000 0.000
4 H 0.000 0.000 0.500
5 H 0.000 0.500 0.000
6 H 0.500 0.000 0.500
7 O 0.048 0.298 0.750
8 O 0.298 0.048 0.250
9 O 0.702 0.952 0.750
10 O 0.952 0.702 0.250

(5)
Material: SrTi2Ga2
Method: DFT, PBE-GGA
State: optimized geometry

Output
Total energy (eV per atom): -4.670
SG: I4/mmm
Calculated formation energy (eV per atom): 0.035

a b c (Å): 6.153 6.153 6.153
angles (deg): 133.92 133.92 67.21
Element x y z (fractional)
1 Sr 0.000 0.000 0.000
2 Ti 0.342 0.342 0.000
3 Ti 0.658 0.658 0.000
4 Ga 0.250 0.750 0.500
5 Ga 0.750 0.250 0.500

(6)
Material: TlZnGa
Method: DFT, PBE-GGA
State: optimized geometry

Output
Total energy (eV per atom): -2.156
SG: Pm
Calculated formation energy (eV per atom): 0.067

a b c (Å): 4.880 4.389 6.565
angles (deg): 90.00 95.64 90.00
Element x y z (fractional)
1 Tl 0.000 0.000 0.000
2 Tl 0.496 0.500 0.221
3 Zn 0.417 0.000 0.645
4 Zn 0.660 0.500 0.772
5 Ga 0.132 0.500 0.616
6 Ga 0.874 0.000 0.459

(7)
Material: VZnPd3
Method: DFT, PBE-GGA
State: optimized geometry

Output
Total energy (eV per atom): -4.594
SG: Pm-3m
Calculated formation energy (eV per atom): 0.600

a b c (Å): 4.580 4.580 4.580
angles (deg): 90.00 90.00 90.00
Element x y z (fractional)
1 V 0.000 0.000 0.000
2 Zn 0.500 0.500 0.500
3 Pd 0.000 0.500 0.500
4 Pd 0.500 0.000 0.500
5 Pd 0.500 0.500 0.000

- What is the total energy in the sixth record?
  -2.156 eV per atom